1.
Material: CaAcSnAu
Method: DFT, PBE
State: optimized geometry

Computed properties:
DFT total energy (eV/atom): -4.102
Spin magnetization (μB/cell): 0.0
ΔE_f (eV/atom): -0.75

The structure in CIF format:
```
data_CaAcSnAu
_chemical_formula_sum 'Ca4 Ac4 Sn4 Au4'
_space_group_name_H-M_alt 'F -4 3 m'
_space_group_IT_number 216
_space_group_name_Hall 'F -4 2 3'
_cell_length_a 7.816
_cell_length_b 7.816
_cell_length_c 7.816
_cell_angle_alpha 90.00
_cell_angle_beta 90.00
_cell_angle_gamma 90.00
loop_
_atom_site_label
_atom_site_fract_x
_atom_site_fract_y
_atom_site_fract_z
_atom_site_occupancy
Ca1 0.000 0.000 0.000 1
Ac1 0.000 0.000 0.500 1
Sn1 0.250 0.250 0.750 1
Au1 0.250 0.250 0.250 1
```

=====

2.
Material: LiHf3Zr3N8
Method: DFT, PBE
State: optimized geometry

Computed properties:
ΔE_f (raw) (kJ/mol of formula units): -2063
DFT total energy (eV/atom): -9.693
Spin magnetization (μB/cell): 0.0

The structure in CIF format:
```
data_LiHf3Zr3N8
_chemical_formula_sum 'Li3 Hf9 Zr9 N24'
_space_group_name_H-M_alt 'R -3 m'
_space_group_IT_number 166
_space_group_name_Hall '-R 3 2"'
_cell_length_a 6.3530
_cell_length_b 6.3530
_cell_length_c 15.5904
_cell_angle_alpha 90.00
_cell_angle_beta 90.00
_cell_angle_gamma 120.00
loop_
_atom_site_label
_atom_site_fract_x
_atom_site_fract_y
_atom_site_fract_z
_atom_site_occupancy
Li1 0.0000 0.0000 0.0000 1
Hf1 0.0000 0.5000 0.0000 1
Zr1 0.0000 0.5000 0.5000 1
N1 0.0000 0.0000 0.2522 1
N2 0.0026 0.5013 0.7472 1
```

=====

- DFT total energy of number 1 (CaAcSnAu)?
  -4.102 eV/atom

=====

- Number 1 is which compound?
  CaAcSnAu

=====

- Which formula does entry 1 have?
  CaAcSnAu